Run one
! YCuHRh2, optimized geometry, DFT PBE; values from VASP
&SYSTEM
  ibrav = 0, nat = 5, ntyp = 4
/
ATOMIC_SPECIES
Rh 102.91 Rh.upf
Cu 63.55 Cu.upf
H 1.01 H.upf
Y 88.91 Y.upf
CELL_PARAMETERS angstrom
-1.2770 -1.4009 -3.5353
3.7919 -0.1873 -1.2954
0.3058 -3.9959 1.4730
ATOMIC_POSITIONS crystal
Rh 0.5000 0.0000 0.0000
Rh 0.0000 0.5000 0.0000
Cu 0.5000 0.5000 0.5000
H 0.0000 0.0000 0.0000
Y 0.0000 0.0000 0.5000
! Crystal system = tetragonal
! V = 68.7 Å³ per cell
! Space-group type = No. 123

Run two
! YCuHRh2, optimized geometry, DFT PBE; values from VASP
&SYSTEM
  ibrav = 0, nat = 5, ntyp = 4
/
ATOMIC_SPECIES
Rh 102.91 Rh.upf
Y 88.91 Y.upf
Cu 63.55 Cu.upf
H 1.01 H.upf
CELL_PARAMETERS angstrom
-1.3602 1.2632 3.7004
1.0531 -3.6547 1.6348
3.5714 1.4022 0.8341
ATOMIC_POSITIONS crystal
Rh 0.5000 0.0000 0.0000
Rh 0.0000 0.5000 0.0000
Y 0.5000 0.5000 0.5000
Cu 0.0000 0.0000 0.5000
H 0.0000 0.0000 0.0000
! Crystal system = tetragonal
! V = 67.3 Å³ per cell
! Space-group type = No. 123

Most stable to least stable, the ends of the list are run two and run one.

Run one
! Zn2CuHRh, optimized geometry, DFT PBE; values from VASP
&SYSTEM
  ibrav = 0, nat = 5, ntyp = 4
/
ATOMIC_SPECIES
H 1.01 H.upf
Zn 65.41 Zn.upf
Rh 102.91 Rh.upf
Cu 63.55 Cu.upf
CELL_PARAMETERS angstrom
-1.6910 -1.8795 -4.1024
-1.3274 -2.3816 1.6383
-4.0396 2.5829 0.4818
ATOMIC_POSITIONS crystal
H 0.0000 0.5000 0.0000
Zn 0.0000 0.0000 0.5000
Zn 0.5000 0.0000 0.0000
Rh 0.0000 0.0000 0.0000
Cu 0.5000 0.5000 0.5000
! Crystal system = tetragonal
! V = 73.9 Å³ per cell
! Space-group type = No. 123

Run two
! Zn2CuHRh, optimized geometry, DFT PBE; values from VASP
&SYSTEM
  ibrav = 0, nat = 5, ntyp = 4
/
ATOMIC_SPECIES
H 1.01 H.upf
Rh 102.91 Rh.upf
Cu 63.55 Cu.upf
Zn 65.41 Zn.upf
CELL_PARAMETERS angstrom
4.0882 0.0000 0.0000
0.0000 4.0882 0.0000
0.0000 0.0000 3.4134
ATOMIC_POSITIONS crystal
H 0.0000 0.0000 0.0000
Rh 0.5000 0.5000 0.5000
Cu 0.0000 0.0000 0.5000
Zn 0.0000 0.5000 0.0000
Zn 0.5000 0.0000 0.0000
! Crystal system = tetragonal
! V = 57.1 Å³ per cell
! Space-group type = No. 123

Most stable to least stable, the ends of the list are run two and run one.

Run one
! ZrCuHRh2, optimized geometry, DFT PBE; values from VASP
&SYSTEM
  ibrav = 0, nat = 5, ntyp = 4
/
ATOMIC_SPECIES
Cu 63.55 Cu.upf
Rh 102.91 Rh.upf
H 1.01 H.upf
Zr 91.22 Zr.upf
CELL_PARAMETERS angstrom
-0.7606 3.1880 -2.4976
-0.0524 -2.5488 -3.2374
-3.6510 -0.5101 0.4607
ATOMIC_POSITIONS crystal
Cu 0.0000 0.0000 0.5000
Rh 0.0000 0.5000 0.0000
Rh 0.5000 0.0000 0.0000
H 0.0000 0.0000 0.0000
Zr 0.5000 0.5000 0.5000
! Crystal system = tetragonal
! V = 63.1 Å³ per cell
! Space-group type = No. 123

Run two
! ZrCuHRh2, optimized geometry, DFT PBE; values from VASP
&SYSTEM
  ibrav = 0, nat = 5, ntyp = 4
/
ATOMIC_SPECIES
H 1.01 H.upf
Zr 91.22 Zr.upf
Rh 102.91 Rh.upf
Cu 63.55 Cu.upf
CELL_PARAMETERS angstrom
3.9985 0.0000 0.0000
0.0000 3.9985 0.0000
0.0000 0.0000 4.0110
ATOMIC_POSITIONS crystal
H 0.0000 0.0000 0.0000
Zr 0.0000 0.0000 0.5000
Rh 0.5000 0.0000 0.0000
Rh 0.0000 0.5000 0.0000
Cu 0.5000 0.5000 0.5000
! Crystal system = tetragonal
! V = 64.1 Å³ per cell
! Space-group type = No. 123

Most stable to least stable, the ends of the list are run one and run two.

Run one
! CuHRu, optimized geometry, DFT PBE; values from VASP
&SYSTEM
  ibrav = 0, nat = 6, ntyp = 3
/
ATOMIC_SPECIES
Ru 101.07 Ru.upf
Cu 63.55 Cu.upf
H 1.01 H.upf
CELL_PARAMETERS angstrom
-2.5201 2.5146 1.0901
1.0121 -0.6231 3.7771
3.4543 1.8680 -2.6930
ATOMIC_POSITIONS crystal
Ru 0.1116 0.8612 0.7225
Ru 0.8884 0.1388 0.2775
Cu 0.6357 0.3858 0.7716
Cu 0.3643 0.6142 0.2284
H 0.3477 0.0974 0.1947
H 0.6523 0.9026 0.8053
! Crystal system = orthorhombic
! V = 57.6 Å³ per cell
! Space-group type = No. 74

Run two
! CuHRu, optimized geometry, DFT PBE; values from VASP
&SYSTEM
  ibrav = 0, nat = 3, ntyp = 3
/
ATOMIC_SPECIES
H 1.01 H.upf
Cu 63.55 Cu.upf
Ru 101.07 Ru.upf
CELL_PARAMETERS angstrom
2.7551 0.0000 0.0000
-1.3776 2.3860 0.0000
0.0000 0.0000 4.4252
ATOMIC_POSITIONS crystal
H 0.3333 0.6667 0.6439
Cu 0.0000 0.0000 0.9369
Ru 0.6667 0.3333 0.4192
! Crystal system = trigonal
! V = 29.1 Å³ per cell
! Space-group type = No. 156

Most stable to least stable, the ends of the list are run two and run one.

Run one
! Cu3HRu, optimized geometry, DFT PBE; values from VASP
&SYSTEM
  ibrav = 0, nat = 5, ntyp = 3
/
ATOMIC_SPECIES
Cu 63.55 Cu.upf
Ru 101.07 Ru.upf
H 1.01 H.upf
CELL_PARAMETERS angstrom
3.7462 0.0000 0.0000
0.0000 3.7462 0.0000
0.0000 0.0000 3.7462
ATOMIC_POSITIONS crystal
Cu 0.0000 0.5000 0.0000
Cu 0.0000 0.0000 0.5000
Cu 0.5000 0.0000 0.0000
Ru 0.5000 0.5000 0.5000
H 0.0000 0.0000 0.0000
! Crystal system = cubic
! V = 52.6 Å³ per cell
! Space-group type = No. 221

Run two
! Cu3HRu, optimized geometry, DFT PBE; values from VASP
&SYSTEM
  ibrav = 0, nat = 5, ntyp = 3
/
ATOMIC_SPECIES
Ru 101.07 Ru.upf
Cu 63.55 Cu.upf
H 1.01 H.upf
CELL_PARAMETERS angstrom
-3.5347 -2.7152 -1.5162
3.0747 -3.3956 -1.0870
-0.4666 -1.8063 4.3226
ATOMIC_POSITIONS crystal
Ru 0.0000 0.0000 0.0000
Cu 0.5000 0.0000 0.0000
Cu 0.0000 0.0000 0.5000
Cu 0.0000 0.5000 0.0000
H 0.5000 0.5000 0.5000
! Crystal system = cubic
! V = 104.4 Å³ per cell
! Space-group type = No. 221

Most stable to least stable, the ends of the list are run one and run two.

Run one
! CuHRu2, optimized geometry, DFT PBE; values from VASP
&SYSTEM
  ibrav = 0, nat = 8, ntyp = 3
/
ATOMIC_SPECIES
Ru 101.07 Ru.upf
Cu 63.55 Cu.upf
H 1.01 H.upf
CELL_PARAMETERS angstrom
5.9183 0.0000 0.0000
0.0000 5.9183 0.0000
2.9592 2.9592 2.5177
ATOMIC_POSITIONS crystal
Ru 0.3750 0.4675 0.7500
Ru 0.2175 0.6250 0.2500
Ru 0.8750 0.7825 0.7500
Ru 0.5325 0.1250 0.2500
Cu 0.7500 0.2500 0.5000
Cu 0.0000 0.0000 0.0000
H 0.2500 0.7500 0.5000
H 0.5000 0.5000 0.0000
! Crystal system = tetragonal
! V = 88.2 Å³ per cell
! Space-group type = No. 122

Run two
! CuHRu2, optimized geometry, DFT PBE; values from VASP
&SYSTEM
  ibrav = 0, nat = 4, ntyp = 3
/
ATOMIC_SPECIES
H 1.01 H.upf
Ru 101.07 Ru.upf
Cu 63.55 Cu.upf
CELL_PARAMETERS angstrom
0.0000 2.8373 2.8373
2.8373 0.0000 2.8373
2.8373 2.8373 0.0000
ATOMIC_POSITIONS crystal
H 0.0000 0.0000 0.0000
Ru 0.2500 0.2500 0.2500
Ru 0.7500 0.7500 0.7500
Cu 0.5000 0.5000 0.5000
! Crystal system = cubic
! V = 45.7 Å³ per cell
! Space-group type = No. 225

Most stable to least stable, the ends of the list are run one and run two.